Below is a geometry-optimized BaTi2V2O7 structure, with properties calculated at the PBE with a Hubbard U level.

a b c (Å): 4.147 16.545 4.237
angles (deg): 90.00 90.00 90.00
Space group Imm2 (No. 44)
One atom of each set of equivalent atoms:
1 Ba 0.000 0.000 0.000 (multiplicity 2)
2 Ti 0.000 0.252 0.499 (multiplicity 4)
3 V 0.000 0.383 0.000 (multiplicity 4)
4 O 0.000 0.132 0.500 (multiplicity 4)
5 O 0.000 0.257 0.000 (multiplicity 4)
6 O 0.000 0.368 0.500 (multiplicity 4)
7 O 0.000 0.500 0.002 (multiplicity 2)

Computed properties:
- DFT total energy (eV per atom) = -8.14
- M_tot (μB/f.u.) = 4.7